1.
The following is a PBE calculation of a relaxed Ac2Sn3Rh5 crystal, from Alexandria.

```
Ac2Sn3Rh5
1.0
2.234 -13.611 0.000
2.234 13.611 0.000
0.000 0.000 7.136
Ac Sn Rh
4 6 10
Cartesian
2.234 13.484 3.568 Ac
2.234 4.858 3.633 Ac
2.234 -4.858 0.065 Ac
2.234 -13.484 0.000 Ac
2.234 10.554 2.015 Sn
2.234 6.126 0.146 Sn
2.234 1.761 1.916 Sn
2.234 -1.761 5.483 Sn
2.234 -6.126 3.714 Sn
2.234 -10.554 5.583 Sn
2.234 10.648 6.244 Rh
2.234 7.898 5.202 Rh
2.234 7.852 2.245 Rh
2.234 3.525 7.091 Rh
2.234 1.775 4.648 Rh
2.234 -1.775 1.080 Rh
2.234 -3.525 3.523 Rh
2.234 -7.852 5.813 Rh
2.234 -7.898 1.634 Rh
2.234 -10.648 2.676 Rh
```

* energy of formation from the pure elements: -507 meV/atom
* DOS at the Fermi energy: 6.1 states/eV/f.u.
* magnetization: 0.00 μB/cell
* relative energy among the computed polymorphs: 106 meV/atom
* calculated volume: 21.7 Å³ per atom
* space group: Cmc2_1, No. 36

---

2.
The following is a PBE calculation of a relaxed ZrTcSe2 crystal, from Alexandria.

```
ZrTcSe2
1.0
1.636 0.944 7.878
-1.636 0.944 7.878
0.000 -1.889 7.878
Zr Tc Se
1 1 2
Cartesian
0.000 0.000 0.000 Zr
0.000 0.000 11.817 Tc
0.000 0.000 5.734 Se
0.000 0.000 17.899 Se
```

* DOS at the Fermi energy: 3.2 states/eV/f.u.
* magnetization: 0.00 μB/cell
* relative energy among the computed polymorphs: 431 meV/atom
* formation energy without anion corrections: -195 meV per atom
* calculated volume: 18.3 Å³ per atom
* space group: R-3m, No. 166

---

3.
The following is a PBE calculation of a relaxed Ta2CoNi crystal, from Alexandria.

```
Ta2CoNi
1.0
-1.424 2.197 4.632
1.424 -2.197 4.632
1.424 2.197 -4.632
Ta Co Ni
2 1 1
Cartesian
0.000 0.000 0.000 Ta
0.000 2.197 2.100 Ta
1.424 0.000 2.270 Co
0.000 0.000 4.313 Ni
```

* energy of formation from the pure elements: -35 meV/atom
* DOS at the Fermi energy: 4.4 states/eV/f.u.
* magnetization: 0.00 μB/cell
* relative energy among the computed polymorphs: 151 meV/atom
* calculated volume: 14.5 Å³ per atom
* space group: Imm2, No. 44

---

4.
The following is a PBE calculation of a relaxed Na2TbScTe4 crystal, from Alexandria.

```
Na2TbScTe4
1.0
7.524 0.000 0.000
0.000 4.343 0.000
-2.505 0.000 7.555
Na Tb Sc Te
2 1 1 4
Cartesian
0.000 0.000 0.000 Na
3.762 2.172 0.000 Na
-1.253 2.172 3.778 Tb
2.509 0.000 3.778 Sc
0.085 0.000 5.513 Te
1.337 2.172 2.093 Te
3.682 2.172 5.462 Te
4.933 0.000 2.042 Te
```

* magnetization: 0.00 μB/cell
* formation energy without anion corrections: -1247 meV per atom
* calculated volume: 30.9 Å³ per atom
* space group: P2/m, No. 10

---

5.
The following is a PBE calculation of a relaxed CeIn5Rh crystal, from Alexandria.

```
CeIn5Rh
1.0
4.708 0.000 0.000
0.000 4.708 0.000
0.000 0.000 7.557
Ce In Rh
1 5 1
Cartesian
0.000 0.000 0.000 Ce
0.000 2.354 2.286 In
0.000 2.354 5.272 In
2.354 0.000 2.286 In
2.354 0.000 5.272 In
2.354 2.354 0.000 In
0.000 0.000 3.779 Rh
```

* energy of formation from the pure elements: -436 meV/atom
* DOS at the Fermi energy: 6.5 states/eV/f.u.
* magnetization: 0.78 μB/cell
* calculated volume: 23.9 Å³ per atom
* space group: P4/mmm, No. 123

---

6.
The following is a PBE calculation of a relaxed ZrNbB2 crystal, from Alexandria.

```
ZrNbB2
1.0
1.678 0.969 5.525
-1.678 0.969 5.525
0.000 -1.938 5.525
Zr Nb B
1 1 2
Cartesian
0.000 0.000 0.000 Zr
0.000 0.000 8.288 Nb
0.000 0.000 4.054 B
0.000 0.000 12.522 B
```

* energy of formation from the pure elements: -518 meV/atom
* DOS at the Fermi energy: 1.8 states/eV/f.u.
* magnetization: 0.00 μB/cell
* relative energy among the computed polymorphs: 204 meV/atom
* calculated volume: 13.5 Å³ per atom
* space group: R-3m, No. 166